Record 1
CaLa4Tb3S8 | PBE | optimized geometry

Lattice parameters (Å, degrees): 8.1399 8.1399 8.1399 59.43 59.43 59.43
Atoms (fractional coordinates):
Ca 0.0000 0.0000 0.0000
La 0.0000 0.0000 0.5000
La 0.0000 0.5000 0.0000
La 0.5000 0.0000 0.0000
La 0.5000 0.5000 0.5000
Tb 0.0000 0.5000 0.5000
Tb 0.5000 0.0000 0.5000
Tb 0.5000 0.5000 0.0000
S 0.2446 0.2446 0.7429
S 0.2446 0.7429 0.2446
S 0.2561 0.2561 0.2561
S 0.2571 0.7554 0.7554
S 0.7429 0.2446 0.2446
S 0.7439 0.7439 0.7439
S 0.7554 0.2571 0.7554
S 0.7554 0.7554 0.2571

Summary:
**Energy relative to the elements, uncorrected**: -2093.5 meV/atom
**Crystal system**: trigonal



Record 2
Ce2B2Ir5 | PBE | optimized geometry

Lattice parameters (Å, degrees): 4.0059 4.0059 8.8478 90.00 90.00 90.00
Atoms (fractional coordinates):
Ce 0.0000 0.0000 0.0000
Ce 0.0000 0.0000 0.5000
B 0.5000 0.5000 0.1643
B 0.5000 0.5000 0.8357
Ir 0.0000 0.5000 0.2556
Ir 0.0000 0.5000 0.7444
Ir 0.5000 0.0000 0.2556
Ir 0.5000 0.0000 0.7444
Ir 0.5000 0.5000 0.5000

Summary:
**Energy above the lowest structure with this stoichiometry**: 0.87 eV/f.u.
**Crystal system**: tetragonal
**Energy relative to the elements**: -648.8 meV per atom



Record 3
Sc2GaO4F | PBE | optimized geometry

Lattice parameters (Å, degrees): 5.0145 5.0145 6.1252 111.54 111.54 35.29
Atoms (fractional coordinates):
Sc 0.1909 0.1909 0.2007
Sc 0.8091 0.8091 0.7993
Ga 0.0000 0.0000 0.5000
O 0.1685 0.1685 0.8170
O 0.3756 0.3756 0.5651
O 0.6244 0.6244 0.4349
O 0.8315 0.8315 0.1830
F 0.5000 0.5000 0.0000

Summary:
**Energy relative to the elements, uncorrected**: -2930.7 meV/atom
**Crystal system**: monoclinic



Record 4
Zn2CrCl | PBE | optimized geometry

Lattice parameters (Å, degrees): 3.1131 3.1131 7.8291 90.00 90.00 90.00
Atoms (fractional coordinates):
Zn 0.0000 0.0000 0.0000
Zn 0.5000 0.5000 0.1850
Cr 0.5000 0.5000 0.7775
Cl 0.0000 0.0000 0.5880

Summary:
**Energy relative to the elements, uncorrected**: 66.9 meV/atom
**Energy above the lowest structure with this stoichiometry**: 0.09 eV/f.u.
**Crystal system**: tetragonal